! PBEsol HfAg2Mo, optimized geometry; values from VASP
&SYSTEM
  ibrav = 0, nat = 4, ntyp = 3
/
ATOMIC_SPECIES
Mo 95.94 Mo.upf
Hf 178.49 Hf.upf
Ag 107.87 Ag.upf
CELL_PARAMETERS angstrom
-0.9355 -4.1043 -1.8807
2.6107 -1.6066 -3.4439
2.8309 -3.5665 0.7235
ATOMIC_POSITIONS crystal
Mo 0.0000 0.0000 0.0000
Hf 0.5000 0.5000 0.5000
Ag 0.2500 0.2500 0.2500
Ag 0.7500 0.7500 0.7500
! ΔH_f (0 K) in eV per atom: 0.457
! Symmetry: Fm-3m, No. 225
! Crystal system: cubic
! Total magnetization in μB per formula unit: 0.0

=====

! PBEsol RbB2TeW, optimized geometry; values from VASP
&SYSTEM
  ibrav = 0, nat = 5, ntyp = 4
/
ATOMIC_SPECIES
B 10.81 B.upf
Te 127.60 Te.upf
Rb 85.47 Rb.upf
W 183.84 W.upf
CELL_PARAMETERS angstrom
4.4262 0.0000 0.0000
0.0000 4.4262 0.0000
0.0000 0.0000 6.0306
ATOMIC_POSITIONS crystal
B 0.0000 0.5000 0.0000
B 0.5000 0.0000 0.0000
Te 0.0000 0.0000 0.5000
Rb 0.0000 0.0000 0.0000
W 0.5000 0.5000 0.5000
! Symmetry: P4/mmm, No. 123
! Calculated total energy in eV per atom: -3.019
! Crystal system: tetragonal
! Total magnetization in μB per formula unit: 2.7

=====

! PBEsol TlCd2Ge2, optimized geometry; values from VASP
&SYSTEM
  ibrav = 0, nat = 5, ntyp = 3
/
ATOMIC_SPECIES
Tl 204.38 Tl.upf
Ge 72.64 Ge.upf
Cd 112.41 Cd.upf
CELL_PARAMETERS angstrom
4.0444 0.0000 0.0000
0.0000 4.0444 0.0000
-2.0222 -2.0222 6.9179
ATOMIC_POSITIONS crystal
Tl 0.0000 0.0000 0.0000
Ge 0.2500 0.7500 0.5000
Ge 0.7500 0.2500 0.5000
Cd 0.3968 0.3968 0.7937
Cd 0.6032 0.6032 0.2063
! ΔH_f (0 K) in eV per atom: 0.168
! Excess energy over the best structure of this formula in the dataset in eV per atom: 0.0643
! Symmetry: I4/mmm, No. 139
! Crystal system: tetragonal
! Total magnetization in μB per formula unit: 0.0

=====

! PBEsol CuPt, optimized geometry; values from VASP
&SYSTEM
  ibrav = 0, nat = 2, ntyp = 2
/
ATOMIC_SPECIES
Cu 63.55 Cu.upf
Pt 195.08 Pt.upf
CELL_PARAMETERS angstrom
4.5325 0.0083 0.0051
3.7269 2.5795 0.0051
3.7269 1.1677 2.3001
ATOMIC_POSITIONS crystal
Cu 0.0000 0.0000 0.0000
Pt 0.5000 0.5000 0.5000
! ΔH_f (0 K) in eV per atom: -0.148
! Symmetry: R-3m, No. 166
! Crystal system: trigonal
! Total magnetization in μB per formula unit: 0.0

=====

! PBEsol Bi2As2I, optimized geometry; values from VASP
&SYSTEM
  ibrav = 0, nat = 5, ntyp = 3
/
ATOMIC_SPECIES
I 126.90 I.upf
As 74.92 As.upf
Bi 208.98 Bi.upf
CELL_PARAMETERS angstrom
-0.1568 -2.1586 -4.1546
-1.2463 -3.9877 2.1189
-5.9728 4.8127 0.3659
ATOMIC_POSITIONS crystal
I 0.0000 0.0000 0.0000
As 0.2500 0.7500 0.5000
As 0.7500 0.2500 0.5000
Bi 0.3679 0.3679 0.7358
Bi 0.6321 0.6321 0.2642
! Excess energy over the best structure of this formula in the dataset in eV per atom: 0.0000
! Symmetry: I4/mmm, No. 139
! Crystal system: tetragonal
! Total magnetization in μB per formula unit: 0.0

=====

! PBEsol SrNbSe2, optimized geometry; values from VASP
&SYSTEM
  ibrav = 0, nat = 8, ntyp = 3
/
ATOMIC_SPECIES
Sr 87.62 Sr.upf
Nb 92.91 Nb.upf
Se 78.96 Se.upf
CELL_PARAMETERS angstrom
-1.9842 -0.1987 5.5613
1.9338 -5.5610 0.4913
6.2018 5.2298 -0.7386
ATOMIC_POSITIONS crystal
Sr 0.7500 0.2500 0.5000
Sr 0.5000 0.5000 0.0000
Nb 0.2500 0.7500 0.5000
Nb 0.0000 0.0000 0.0000
Se 0.2975 0.8750 0.2500
Se 0.9525 0.3750 0.2500
Se 0.1250 0.0475 0.7500
Se 0.6250 0.7025 0.7500
! Symmetry: I-42d, No. 122
! Calculated total energy in eV per atom: -5.781
! Crystal system: tetragonal
! Total magnetization in μB per formula unit: 1.4

=====

! PBEsol V7P6O24, optimized geometry; values from VASP
&SYSTEM
  ibrav = 0, nat = 37, ntyp = 3
/
ATOMIC_SPECIES
V 50.94 V.upf
P 30.97 P.upf
O 16.00 O.upf
CELL_PARAMETERS angstrom
-5.1353 -2.1266 3.1313
5.9136 -1.7000 5.1781
-0.3174 8.9946 -0.2636
ATOMIC_POSITIONS crystal
V 0.9505 0.2854 0.4868
V 0.7365 0.1953 0.7429
V 0.4030 0.4608 0.1196
V 0.5970 0.5392 0.8804
V 0.2635 0.8047 0.2571
V 0.0495 0.7146 0.5132
V 0.0000 0.0000 0.0000
P 0.9116 0.4050 0.1594
P 0.7698 0.8631 0.2227
P 0.3995 0.2370 0.3839
P 0.6005 0.7630 0.6161
P 0.2302 0.1369 0.7773
P 0.0884 0.5950 0.8406
O 0.8686 0.2135 0.0471
O 0.9409 0.4419 0.3434
O 0.7946 0.0606 0.2940
O 0.9846 0.8146 0.3230
O 0.7589 0.8140 0.0395
O 0.7030 0.4717 0.0865
O 0.8648 0.4693 0.8378
O 0.6297 0.2274 0.5100
O 0.7570 0.7259 0.5241
O 0.5434 0.7439 0.2213
O 0.4647 0.3781 0.3081
O 0.2714 0.0484 0.2372
O 0.7286 0.9516 0.7628
O 0.5353 0.6219 0.6919
O 0.4566 0.2561 0.7787
O 0.2430 0.2741 0.4759
O 0.3703 0.7726 0.4900
O 0.1352 0.5307 0.1622
O 0.2970 0.5283 0.9135
O 0.2411 0.1860 0.9605
O 0.0154 0.1854 0.6770
O 0.2054 0.9394 0.7060
O 0.0591 0.5581 0.6566
O 0.1314 0.7865 0.9529
! Symmetry: P-1, No. 2
! Calculated total energy in eV per atom: -8.324
! Crystal system: triclinic
! Total magnetization in μB per formula unit: 17.0

=====

! PBEsol NaCd3Si, optimized geometry; values from VASP
&SYSTEM
  ibrav = 0, nat = 5, ntyp = 3
/
ATOMIC_SPECIES
Na 22.99 Na.upf
Si 28.09 Si.upf
Cd 112.41 Cd.upf
CELL_PARAMETERS angstrom
5.1016 0.0000 0.0000
0.0000 5.1016 0.0000
0.0000 0.0000 5.1016
ATOMIC_POSITIONS crystal
Na 0.0000 0.0000 0.0000
Si 0.5000 0.5000 0.5000
Cd 0.0000 0.5000 0.0000
Cd 0.0000 0.0000 0.5000
Cd 0.5000 0.0000 0.0000
! Symmetry: Pm-3m, No. 221
! Calculated total energy in eV per atom: -1.144
! Crystal system: cubic
! Total magnetization in μB per formula unit: 0.0

=====

- The highest total magnetization belongs to which entry?
  V7P6O24